Entry 1:
The following is a DFT calculation (GGA-PBE) of a geometry-optimized Ag2IrSe structure.

Cell lengths 2.903, 2.903, 9.892 Å; angles 90.00, 90.00, 120.18 degrees
Sites, in units of the cell vectors:
Ag 0.000 0.000 0.000
Ag 0.500 0.500 0.250
Ir 0.000 0.000 0.495
Se 0.500 0.500 0.702

Output
The calculation puts the total energy at -4.170 eV/atom. The raw formation energy comes out at 7.88 kcal/mol of atoms.

***

Entry 2:
The following is a DFT calculation (GGA-PBE) of a geometry-optimized Pr2Ga2Ge structure.

Cell lengths 6.056, 6.056, 11.249 Å; angles 113.94, 113.94, 41.22 degrees
Sites, in units of the cell vectors:
Pr 0.099 0.099 0.402
Pr 0.293 0.293 0.858
Pr 0.707 0.707 0.142
Pr 0.901 0.901 0.598
Ga 0.017 0.017 0.901
Ga 0.366 0.366 0.382
Ga 0.634 0.634 0.618
Ga 0.983 0.983 0.099
Ge 0.429 0.429 0.186
Ge 0.571 0.571 0.814

Output
The calculation puts the total energy at -4.728 eV/atom. The calculation puts the formation energy from the elements at -0.6818 eV per atom.

***

Entry 3:
The following is a DFT calculation (GGA-PBE) of a geometry-optimized BaMn2Al structure.

Cell lengths 4.337, 7.053, 7.053 Å; angles 26.16, 90.00, 90.00 degrees
Sites, in units of the cell vectors:
Ba 0.000 0.000 0.000
Mn 0.000 0.236 0.236
Mn 0.500 0.683 0.683
Al 0.500 0.338 0.338

Output
The calculation puts the total energy at -5.548 eV/atom. The calculation puts the formation energy from the elements at 0.4534 eV per atom.

***

Entry 4:
The following is a DFT calculation (GGA-PBE) of a geometry-optimized V4Ga2Mo structure.

Cell lengths 6.660, 4.948, 6.792 Å; angles 90.00, 116.09, 90.00 degrees
Sites, in units of the cell vectors:
V 0.023 0.250 0.035
V 0.281 0.503 0.420
V 0.281 0.997 0.420
V 0.375 0.750 0.101
V 0.625 0.250 0.899
V 0.719 0.003 0.580
V 0.719 0.497 0.580
V 0.977 0.750 0.965
Ga 0.090 0.750 0.647
Ga 0.477 0.250 0.205
Ga 0.523 0.750 0.795
Ga 0.910 0.250 0.353
Mo 0.204 0.250 0.779
Mo 0.796 0.750 0.221

Output
The calculation puts the total energy at -7.612 eV/atom. The calculation puts the formation energy from the elements at 0.0111 eV per atom.

***

Entry 5:
The following is a DFT calculation (GGA-PBE) of a geometry-optimized CdTcAg2 structure.

Cell lengths 9.960, 9.960, 9.960 Å; angles 16.54, 16.54, 16.54 degrees
Sites, in units of the cell vectors:
Cd 0.000 0.000 0.000
Tc 0.500 0.500 0.500
Ag 0.247 0.247 0.247
Ag 0.753 0.753 0.753

Output
The calculation puts the total energy at -3.914 eV/atom. The calculation puts the formation energy from the elements at 0.3324 eV per atom.